Record 1
This record from Alexandria describes an optimized crystal structure of KFeF3. The functional is PBE+U.

Output
- Density of states at the Fermi level: 11.8 states/eV/f.u.

Unit cell a=4.6411 b=4.6411 c=4.6411 alpha=90.00 beta=90.00 gamma=90.00
Closest atoms and distances in Å follow each position.
Fractional coordinates of all 5 atoms:
1 K 0.0000 0.0000 0.0000  6 F 2.32
2 Fe 0.5000 0.5000 0.5000  12 F 3.28
3 F 0.0000 0.5000 0.0000  2 K 2.32
4 F 0.0000 0.0000 0.5000  2 K 2.32
5 F 0.5000 0.0000 0.0000  2 K 2.32

---

Record 2
This record from Alexandria describes an optimized crystal structure of KFe2F8. The functional is PBE+U.

Output
- Density of states at the Fermi level: 6.6 states/eV/f.u.

Unit cell a=3.8992 b=7.4089 c=7.4113 alpha=120.04 beta=89.99 gamma=90.04
Closest atoms and distances in Å follow each position.
Fractional coordinates of all 11 atoms:
1 K 0.0000 0.0000 0.0000  6 F 2.70
2 Fe 0.2846 0.3334 0.6667  5 F 1.82-1.95
3 Fe 0.7154 0.6666 0.3333  5 F 1.82-1.95
4 F 0.2145 0.6666 0.3333  2 Fe 1.95
5 F 0.7855 0.3334 0.6667  2 Fe 1.95
6 F 0.7147 0.8083 0.1910  1 Fe 1.82
7 F 0.2855 0.1909 0.3826  1 Fe 1.82
8 F 0.2859 0.6176 0.8085  1 Fe 1.82
9 F 0.2853 0.1918 0.8090  1 Fe 1.82
10 F 0.7145 0.8091 0.6174  1 Fe 1.82
11 F 0.7141 0.3824 0.1915  1 Fe 1.82

---

Record 3
This record from Alexandria describes an optimized crystal structure of KFe3F. The functional is PBE+U.

Output
- Density of states at the Fermi level: 4.5 states/eV/f.u.

Unit cell a=4.7116 b=4.7116 c=4.7116 alpha=90.00 beta=90.00 gamma=90.00
Closest atoms and distances in Å follow each position.
Fractional coordinates of all 5 atoms:
1 K 0.5000 0.5000 0.5000  12 Fe 3.33
2 Fe 0.0000 0.5000 0.0000  2 F 2.36
3 Fe 0.0000 0.0000 0.5000  2 F 2.36
4 Fe 0.5000 0.0000 0.0000  2 F 2.36
5 F 0.0000 0.0000 0.0000  6 Fe 2.36

---

Record 4
This record from Alexandria describes an optimized crystal structure of K3FeF3. The functional is PBE+U.

Unit cell a=5.7541 b=6.2675 c=10.5299 alpha=78.27 beta=79.41 gamma=64.91
Closest atoms and distances in Å follow each position.
Fractional coordinates of all 14 atoms:
1 K 0.6898 0.5406 0.1119  3 F 2.62-2.81
2 K 0.1150 0.1728 0.6178  4 F 2.68-2.97
3 K 0.3165 0.1949 0.2234  3 F 2.62-2.72
4 K 0.7428 0.7669 0.7663  3 F 2.51-2.71
5 K 0.8765 0.8864 0.4075  5 F 2.66-2.91
6 K 0.3803 0.3811 0.8423  4 F 2.72-2.79
7 Fe 0.0680 0.9618 0.9861  3 F 2.11-2.16
8 Fe 0.5044 0.5146 0.4837  3 F 2.09-2.20
9 F 0.1299 0.6033 0.0548  1 Fe 2.11
10 F 0.6291 0.1807 0.6152  1 Fe 2.17
11 F 0.8197 0.0794 0.1601  1 Fe 2.15
12 F 0.3714 0.8847 0.4362  1 Fe 2.09
13 F 0.1463 0.5893 0.6170  1 Fe 2.20
14 F 0.8602 0.3138 0.8877  1 Fe 2.16

---

Record 5
This record from Alexandria describes an optimized crystal structure of KLaFeF2. The functional is PBE+U.

Output
- Density of states at the Fermi level: 1.8 states/eV/f.u.

Unit cell a=4.6509 b=8.2434 c=4.6509 alpha=90.00 beta=90.00 gamma=90.00
Closest atoms and distances in Å follow each position.
Fractional coordinates of all 5 atoms:
1 K 0.0000 0.5000 0.0000  4 Fe 3.29
2 F 0.0000 0.0000 0.5000  2 La 2.33
3 F 0.5000 0.0000 0.0000  2 La 2.33
4 Fe 0.5000 0.5000 0.5000  4 K 3.29
5 La 0.0000 0.0000 0.0000  4 F 2.33

---

Record 6
This record from Alexandria describes an optimized crystal structure of KLaFe2F. The functional is PBE+U.

Output
- Density of states at the Fermi level: 2.4 states/eV/f.u.

Unit cell a=5.6500 b=4.5123 c=5.6500 alpha=90.00 beta=90.00 gamma=90.00
Closest atoms and distances in Å follow each position.
Fractional coordinates of all 5 atoms:
1 K 0.5000 0.5000 0.5000  8 Fe 3.62, 4 La 4.00
2 F 0.0000 0.0000 0.0000  2 La 2.26
3 Fe 0.0000 0.0000 0.5000  2 F 2.82
4 Fe 0.5000 0.0000 0.0000  2 F 2.82
5 La 0.0000 0.5000 0.0000  2 F 2.26

---

Record 7
This record from Alexandria describes an optimized crystal structure of KLaFe2F. The functional is PBE+U.

Output
- Density of states at the Fermi level: 3.9 states/eV/f.u.

Unit cell a=5.2996 b=9.8623 c=5.2996 alpha=90.00 beta=90.00 gamma=90.00
Closest atoms and distances in Å follow each position.
Fractional coordinates of all 5 atoms:
1 K 0.0000 0.5000 0.0000  4 F 3.75
2 F 0.5000 0.5000 0.5000  4 K 3.75
3 Fe 0.0000 0.0000 0.5000  2 La 2.65
4 Fe 0.5000 0.0000 0.0000  2 La 2.65
5 La 0.0000 0.0000 0.0000  4 Fe 2.65

---

Record 8
This record from Alexandria describes an optimized crystal structure of KLiFeF4. The functional is PBE+U.

Output
- Density of states at the Fermi level: 0.0 states/eV/f.u.

Unit cell a=5.8580 b=5.5439 c=7.6957 alpha=90.00 beta=123.52 gamma=90.00
Closest atoms and distances in Å follow each position.
Fractional coordinates of all 14 atoms:
1 K 0.5253 0.7500 0.8944  4 F 2.56-2.71
2 K 0.4747 0.2500 0.1056  4 F 2.56-2.71
3 Li 0.8299 0.7500 0.4804  6 F 2.00-2.22
4 Li 0.1701 0.2500 0.5196  6 F 2.00-2.22
5 Fe 0.2156 0.7500 0.3302  4 F 1.99-2.01
6 Fe 0.7844 0.2500 0.6698  4 F 1.99-2.01
7 F 0.0575 0.4855 0.6946  1 Fe 1.99, 2 Li 2.05-2.22
8 F 0.9425 0.9855 0.3054  1 Fe 1.99, 2 Li 2.05-2.22
9 F 0.9425 0.5145 0.3054  1 Fe 1.99, 2 Li 2.05-2.22
10 F 0.0575 0.0145 0.6946  1 Fe 1.99, 2 Li 2.05-2.22
11 F 0.4219 0.7500 0.1923  1 Fe 2.00, 1 Li 2.19
12 F 0.5781 0.2500 0.8077  1 Fe 2.00, 1 Li 2.19
13 F 0.5939 0.7500 0.5931  1 Li 2.00, 1 Fe 2.01
14 F 0.4061 0.2500 0.4069  1 Li 2.00, 1 Fe 2.01

---

Record 9
This record from Alexandria describes an optimized crystal structure of K3LiFe2F9. The functional is PBE+U.

Output
- Density of states at the Fermi level: 5.1 states/eV/f.u.

Unit cell a=5.8160 b=5.8160 c=7.0744 alpha=90.00 beta=90.00 gamma=120.00
Closest atoms and distances in Å follow each position.
Fractional coordinates of all 15 atoms:
1 K 0.3333 0.6667 0.6517  12 F 2.84-2.98
2 K 0.0000 0.0000 0.0000  12 F 2.86-2.91
3 K 0.6667 0.3333 0.3483  12 F 2.84-2.98
4 Li 0.0000 0.0000 0.5000  6 F 2.10
5 Fe 0.3333 0.6667 0.1721  6 F 1.98-2.07
6 Fe 0.6667 0.3333 0.8279  6 F 1.98-2.07
7 F 0.8312 0.1688 0.6751  1 Fe 1.98, 1 Li 2.10
8 F 0.8312 0.6624 0.6751  1 Fe 1.98, 1 Li 2.10
9 F 0.3376 0.1688 0.6751  1 Fe 1.98, 1 Li 2.10
10 F 0.6624 0.8312 0.3249  1 Fe 1.98, 1 Li 2.10
11 F 0.1688 0.3376 0.3249  1 Fe 1.98, 1 Li 2.10
12 F 0.1688 0.8312 0.3249  1 Fe 1.98, 1 Li 2.10
13 F 0.5000 0.0000 0.0000  2 Fe 2.07
14 F 0.0000 0.5000 0.0000  2 Fe 2.07
15 F 0.5000 0.5000 0.0000  2 Fe 2.07

---

Record 10
This record from Alexandria describes an optimized crystal structure of K3MgFe2F9. The functional is PBE+U.

Output
- Density of states at the Fermi level: 8.8 states/eV/f.u.

Unit cell a=5.8339 b=5.8339 c=7.1773 alpha=90.00 beta=90.00 gamma=120.00
Closest atoms and distances in Å follow each position.
Fractional coordinates of all 15 atoms:
1 K 0.3333 0.6667 0.6672  12 F 2.92
2 K 0.0000 0.0000 0.0000  12 F 2.92-2.94
3 K 0.6667 0.3333 0.3328  12 F 2.92
4 Mg 0.0000 0.0000 0.5000  6 F 2.02
5 Fe 0.3333 0.6667 0.1700  6 F 2.08-2.10
6 Fe 0.6667 0.3333 0.8300  6 F 2.08-2.10
7 F 0.8367 0.1633 0.6617  1 Mg 2.02, 1 Fe 2.10
8 F 0.8367 0.6734 0.6617  1 Mg 2.02, 1 Fe 2.10
9 F 0.3266 0.1633 0.6617  1 Mg 2.02, 1 Fe 2.10
10 F 0.6734 0.8367 0.3383  1 Mg 2.02, 1 Fe 2.10
11 F 0.1633 0.3266 0.3383  1 Mg 2.02, 1 Fe 2.10
12 F 0.1633 0.8367 0.3383  1 Mg 2.02, 1 Fe 2.10
13 F 0.5000 0.0000 0.0000  2 Fe 2.08
14 F 0.0000 0.5000 0.0000  2 Fe 2.08
15 F 0.5000 0.5000 0.0000  2 Fe 2.08

---

Number 1: calculated total energy -3.48 eV/atom, total magnetic moment 0.74 μB/atom. Number 2: calculated total energy -4.71 eV/atom, total magnetic moment 0.81 μB/atom. Number 3: calculated total energy -3.12 eV/atom, total magnetic moment 1.92 μB/atom. Number 4: calculated total energy -3.94 eV/atom, total magnetic moment 0.57 μB/atom. Number 5: calculated total energy -4.50 eV/atom, total magnetic moment 0.78 μB/atom. Number 6: calculated total energy -3.36 eV/atom, total magnetic moment 0.39 μB/atom. Number 7: calculated total energy -3.08 eV/atom, total magnetic moment 1.09 μB/atom. Number 8: calculated total energy -4.87 eV/atom, total magnetic moment 0.57 μB/atom. Number 9: calculated total energy -4.92 eV/atom, total magnetic moment 0.60 μB/atom. Number 10: calculated total energy -4.92 eV/atom, total magnetic moment 0.53 μB/atom.